[1]
! Cs2NbInS6 | the Open Quantum Materials Database | GGA-PBE | optimized geometry; values from VASP
! **Offset from the most stable computed form**: 5.8 kJ/mol of atoms
! **Calculated total energy**: -45.30 eV for the cell shown
! **Space-group type**: I4/m (87)
&SYSTEM
  ibrav = 0, nat = 10, ntyp = 4
/
ATOMIC_SPECIES
Cs 132.91 Cs.upf
In 114.82 In.upf
Nb 92.91 Nb.upf
S 32.06 S.upf
CELL_PARAMETERS angstrom
0.6015 3.3960 6.3103
-6.7141 2.4807 -0.6937
1.2856 -7.0630 -0.4198
ATOMIC_POSITIONS angstrom
Cs -0.5846 -0.3643 4.3494
Cs -4.2424 -0.8220 0.8474
In -3.0563 2.9383 2.8083
Nb 0.0000 0.0000 0.0000
S -1.4739 1.4170 1.3543
S -4.6388 4.4597 4.2623
S -4.9607 2.6767 1.0094
S -0.8758 -1.9918 1.1310
S -3.9513 0.8055 4.0659
S 0.1337 -3.8631 4.1874

---

[2]
! CsNdInS3 | the Open Quantum Materials Database | GGA-PBE | optimized geometry; values from VASP
! **Calculated total energy**: -56.25 eV for the cell shown
! **Space-group type**: Cmcm (63)
&SYSTEM
  ibrav = 0, nat = 12, ntyp = 4
/
ATOMIC_SPECIES
Cs 132.91 Cs.upf
In 114.82 In.upf
Nd 144.24 Nd.upf
S 32.06 S.upf
CELL_PARAMETERS angstrom
2.1288 -8.0493 0.0000
2.1288 8.0493 0.0000
0.0000 0.0000 11.5820
ATOMIC_POSITIONS angstrom
Cs 2.1288 4.5750 2.8955
Cs 2.1288 -4.5750 8.6865
In 2.1288 -6.8091 2.8955
In 2.1288 6.8091 8.6865
Nd 2.1288 0.0000 0.0000
Nd 2.1288 0.0000 5.7910
S 2.1288 -6.1769 0.3335
S 2.1288 -0.4074 2.8955
S 2.1288 -6.1769 5.4575
S 2.1288 6.1769 6.1245
S 2.1288 0.4074 8.6865
S 2.1288 6.1769 11.2485

---

[3]
! CsNdInTe3 | the Open Quantum Materials Database | GGA-PBE | optimized geometry; values from VASP
! **Calculated total energy**: -47.00 eV for the cell shown
! **Space-group type**: Cmcm (63)
&SYSTEM
  ibrav = 0, nat = 12, ntyp = 4
/
ATOMIC_SPECIES
Cs 132.91 Cs.upf
In 114.82 In.upf
Nd 144.24 Nd.upf
Te 127.60 Te.upf
CELL_PARAMETERS angstrom
4.8843 6.3972 -3.3471
-7.8198 -2.7248 2.7218
2.6307 4.0860 11.6484
ATOMIC_POSITIONS angstrom
Cs 2.4203 5.1772 1.0563
Cs -2.7251 2.5812 9.9669
In -6.4432 -1.1870 5.2905
In 6.1383 8.9454 5.7327
Nd -1.4678 1.8362 -0.3126
Nd -0.1524 3.8792 5.5116
Te -6.1278 -1.4337 2.3605
Te -1.4608 2.3905 2.9103
Te -4.9947 0.3262 7.3778
Te 4.6898 7.4322 3.6454
Te 1.1559 5.3679 8.1128
Te 5.8229 9.1921 8.6626

---

[4]
! CsInNiSe3 | the Open Quantum Materials Database | GGA-PBE | optimized geometry; values from VASP
! **Calculated total energy**: -45.87 eV for the cell shown
! **Space-group type**: Cmcm (63)
&SYSTEM
  ibrav = 0, nat = 12, ntyp = 4
/
ATOMIC_SPECIES
Cs 132.91 Cs.upf
In 114.82 In.upf
Ni 58.69 Ni.upf
Se 78.96 Se.upf
CELL_PARAMETERS angstrom
2.0346 -8.0044 0.0000
2.0346 8.0044 0.0000
0.0000 0.0000 11.1666
ATOMIC_POSITIONS angstrom
Cs 2.0346 -4.0440 2.7916
Cs 2.0346 4.0440 8.3749
In 2.0346 0.0000 0.0000
In 2.0346 0.0000 5.5833
Ni 2.0346 7.6505 2.7916
Ni 2.0346 -7.6505 8.3749
Se 2.0346 6.2975 0.7787
Se 2.0346 0.9086 2.7916
Se 2.0346 6.2975 4.8046
Se 2.0346 -6.2975 6.3620
Se 2.0346 -0.9086 8.3749
Se 2.0346 -6.2975 10.3879

---

[5]
! CsNpIn | the Open Quantum Materials Database | GGA-PBE | optimized geometry; values from VASP
! **Offset from the most stable computed form**: 0.0 kJ/mol of atoms
! **Calculated total energy**: -13.18 eV for the cell shown
! **Space-group type**: F-43m (216)
&SYSTEM
  ibrav = 0, nat = 3, ntyp = 3
/
ATOMIC_SPECIES
Cs 132.91 Cs.upf
In 114.82 In.upf
Np 237.00 Np.upf
CELL_PARAMETERS angstrom
0.0000 4.1020 4.1020
4.1020 0.0000 4.1020
4.1020 4.1020 0.0000
ATOMIC_POSITIONS angstrom
Cs 4.1020 4.1020 4.1020
In 2.0510 2.0510 2.0510
Np 0.0000 0.0000 0.0000

---

[6]
! CsNpIn | the Open Quantum Materials Database | GGA-PBE | optimized geometry; values from VASP
! **Offset from the most stable computed form**: 38.5 kJ/mol of atoms
! **Calculated total energy**: -11.98 eV for the cell shown
! **Space-group type**: F-43m (216)
&SYSTEM
  ibrav = 0, nat = 3, ntyp = 3
/
ATOMIC_SPECIES
Cs 132.91 Cs.upf
In 114.82 In.upf
Np 237.00 Np.upf
CELL_PARAMETERS angstrom
-3.7107 -1.6300 4.3229
-1.2355 -5.7345 0.8386
2.0779 -2.8095 4.7857
ATOMIC_POSITIONS angstrom
Cs 0.0000 0.0000 0.0000
In -2.1512 -7.6305 7.4604
Np -0.7171 -2.5435 2.4868

---

[7]
! CsInPd | the Open Quantum Materials Database | GGA-PBE | optimized geometry; values from VASP
! **Offset from the most stable computed form**: 0.0 kJ/mol of atoms
! **Calculated total energy**: -8.24 eV for the cell shown
! **Space-group type**: F-43m (216)
&SYSTEM
  ibrav = 0, nat = 3, ntyp = 3
/
ATOMIC_SPECIES
Cs 132.91 Cs.upf
In 114.82 In.upf
Pd 106.42 Pd.upf
CELL_PARAMETERS angstrom
3.8104 -1.0022 3.5059
-0.8151 0.9479 5.1237
-0.5136 -4.0190 3.3762
ATOMIC_POSITIONS angstrom
Cs 0.6204 -1.0183 3.0015
In 1.8613 -3.0549 9.0044
Pd 0.0000 0.0000 0.0000

---

[8]
! CsInPd | the Open Quantum Materials Database | GGA-PBE | optimized geometry; values from VASP
! **Offset from the most stable computed form**: 52.9 kJ/mol of atoms
! **Calculated total energy**: -6.59 eV for the cell shown
! **Space-group type**: F-43m (216)
&SYSTEM
  ibrav = 0, nat = 3, ntyp = 3
/
ATOMIC_SPECIES
Cs 132.91 Cs.upf
In 114.82 In.upf
Pd 106.42 Pd.upf
CELL_PARAMETERS angstrom
0.0000 3.9541 3.9541
3.9541 0.0000 3.9541
3.9541 3.9541 0.0000
ATOMIC_POSITIONS angstrom
Cs 0.0000 0.0000 0.0000
In 1.9770 1.9770 1.9770
Pd 5.9311 5.9311 5.9311